Entry 1:
{
  "formula": "BaYCl3",
  "functional": "PBE-GGA",
  "state": "optimized geometry",
  "spacegroup": "No. 221",
  "m_tot_mub_per_atom": 0.0000,
  "e_form_raw_ev_per_atom": -1.66,
  "de_polymorph_ev_per_fu": 0.00,
  "lattice": [[-4.966, 1.812, -0.666], [0.173, -1.412, -5.134], [-1.922, -4.807, 1.258]],
  "species": ["Cl", "Cl", "Ba", "Cl", "Y"],
  "frac_coords": [[0.000, 0.500, 0.000], [0.500, 0.000, 0.000], [0.500, 0.500, 0.500], [0.000, 0.000, 0.500], [0.000, 0.000, 0.000]]
}


Entry 2:
{
  "formula": "Pa2TaSe",
  "functional": "PBE-GGA",
  "state": "optimized geometry",
  "spacegroup": "No. 123",
  "m_tot_mub_per_atom": 0.0000,
  "e_form_raw_ev_per_atom": -0.24,
  "lattice": [[-2.020, -1.450, -2.808], [-0.990, -2.875, 2.197], [-5.021, 3.220, 1.950]],
  "species": ["Ta", "Se", "Pa", "Pa"],
  "frac_coords": [[0.500, 0.500, 0.500], [0.500, 0.500, 0.000], [0.000, 0.000, 0.241], [0.000, 0.000, 0.759]]
}


Entry 3:
{
  "formula": "GeIrO2F",
  "functional": "PBE-GGA",
  "state": "optimized geometry",
  "spacegroup": "No. 123",
  "m_tot_mub_per_atom": 0.0000,
  "e_form_raw_ev_per_atom": -0.37,
  "lattice": [[-0.537, -0.158, -3.842], [3.049, -2.382, -0.328], [-2.733, -3.572, 0.528]],
  "species": ["F", "O", "Ir", "O", "Ge"],
  "frac_coords": [[0.000, 0.000, 0.500], [0.000, 0.500, 0.000], [0.000, 0.000, 0.000], [0.500, 0.000, 0.000], [0.500, 0.500, 0.500]]
}


Entry 4:
{
  "formula": "Nd4GaSnN",
  "functional": "PBE-GGA",
  "state": "optimized geometry",
  "spacegroup": "No. 63",
  "m_tot_mub_per_atom": 0.0000,
  "e_form_raw_ev_per_atom": -0.77,
  "lattice": [[6.904, 0.000, 0.000], [0.000, 6.912, 0.000], [-3.452, 0.000, 8.118]],
  "species": ["Nd", "Nd", "N", "Nd", "Nd", "Nd", "Sn", "Sn", "Nd", "Ga", "Nd", "Ga", "Nd", "N"],
  "frac_coords": [[0.500, 0.500, 0.500], [0.500, 0.000, 0.500], [0.250, 0.750, 0.500], [0.000, 0.500, 0.500], [0.088, 0.750, 0.175], [0.420, 0.750, 0.841], [0.109, 0.250, 0.217], [0.891, 0.750, 0.783], [0.000, 0.000, 0.500], [0.616, 0.750, 0.232], [0.912, 0.250, 0.825], [0.384, 0.250, 0.768], [0.580, 0.250, 0.159], [0.750, 0.250, 0.500]]
}


Entry 5:
{
  "formula": "Tb4Sm3Al4",
  "functional": "PBE-GGA",
  "state": "optimized geometry",
  "ef_kj_per_mol_atoms": -17.9,
  "spacegroup": "No. 71",
  "m_tot_mub_per_atom": 0.0000,
  "lattice": [[5.170, 0.000, 0.000], [0.000, 6.874, 0.000], [-2.585, -3.437, 8.564]],
  "species": ["Tb", "Tb", "Sm", "Al", "Sm", "Sm", "Tb", "Tb", "Al", "Al", "Al"],
  "frac_coords": [[0.321, 0.554, 0.642], [0.679, 0.912, 0.358], [0.899, 0.899, 0.797], [0.824, 0.324, 0.648], [0.000, 0.500, 0.000], [0.101, 0.101, 0.203], [0.321, 0.088, 0.642], [0.679, 0.446, 0.358], [0.176, 0.676, 0.352], [0.500, 0.801, 0.000], [0.500, 0.199, 0.000]]
}


Entry 6:
{
  "formula": "CaMg2NiSn",
  "functional": "PBE-GGA",
  "state": "optimized geometry",
  "ef_kj_per_mol_atoms": -22.0,
  "spacegroup": "No. 123",
  "m_tot_mub_per_atom": 0.0000,
  "lattice": [[4.896, 0.000, 0.000], [0.000, 4.896, 0.000], [0.000, 0.000, 4.907]],
  "species": ["Mg", "Ca", "Ni", "Sn", "Mg"],
  "frac_coords": [[0.000, 0.500, 0.000], [0.500, 0.500, 0.500], [0.000, 0.000, 0.000], [0.000, 0.000, 0.500], [0.500, 0.000, 0.000]]
}


Entry 7:
{
  "formula": "Ga2Hg3Pb2",
  "functional": "PBE-GGA",
  "state": "optimized geometry",
  "ef_kj_per_mol_atoms": 4.4,
  "spacegroup": "No. 65",
  "m_tot_mub_per_atom": 0.0000,
  "lattice": [[-2.257, -3.606, 1.453], [3.359, -1.132, 2.409], [-5.254, 5.803, 6.240]],
  "species": ["Hg", "Hg", "Hg", "Pb", "Ga", "Pb", "Ga"],
  "frac_coords": [[0.500, 0.428, 0.855], [0.500, 0.572, 0.145], [0.000, 0.000, 0.000], [0.000, 0.830, 0.660], [0.500, 0.711, 0.423], [0.000, 0.170, 0.340], [0.500, 0.289, 0.577]]
}


Entry 8:
{
  "formula": "PmErPa2N4",
  "functional": "PBE-GGA",
  "state": "optimized geometry",
  "spacegroup": "No. 10",
  "m_tot_mub_per_atom": 0.0000,
  "e_form_raw_ev_per_atom": -1.63,
  "lattice": [[-0.612, 1.015, -3.303], [1.530, -5.561, -1.991], [-5.958, 0.174, 1.157]],
  "species": ["Pm", "N", "N", "Pa", "Pa", "Er", "N", "N"],
  "frac_coords": [[0.500, 0.500, 0.000], [0.000, 0.768, 0.272], [0.500, 0.755, 0.736], [0.000, 0.500, 0.500], [0.500, 0.000, 0.500], [0.000, 0.000, 0.000], [0.500, 0.245, 0.264], [0.000, 0.232, 0.728]]
}


Entry 9:
{
  "formula": "Y2MgInP",
  "functional": "PBE-GGA",
  "state": "optimized geometry",
  "ef_kj_per_mol_atoms": -57.8,
  "spacegroup": "No. 123",
  "m_tot_mub_per_atom": 0.0000,
  "lattice": [[5.315, 0.000, 0.000], [0.000, 5.315, 0.000], [0.000, 0.000, 4.773]],
  "species": ["Y", "Mg", "Y", "In", "P"],
  "frac_coords": [[0.500, 0.000, 0.000], [0.000, 0.000, 0.500], [0.000, 0.500, 0.000], [0.500, 0.500, 0.500], [0.000, 0.000, 0.000]]
}


Entry 10:
{
  "formula": "GeRhOF2",
  "functional": "PBE-GGA",
  "state": "optimized geometry",
  "spacegroup": "No. 123",
  "m_tot_mub_per_atom": 0.3807,
  "e_form_raw_ev_per_atom": -0.67,
  "de_polymorph_ev_per_fu": 0.01,
  "lattice": [[4.189, 0.000, 0.000], [0.000, 4.189, 0.000], [0.000, 0.000, 3.868]],
  "species": ["Rh", "Ge", "O", "F", "F"],
  "frac_coords": [[0.500, 0.500, 0.500], [0.000, 0.000, 0.000], [0.000, 0.000, 0.500], [0.500, 0.000, 0.000], [0.000, 0.500, 0.000]]
}


Entry 11:
{
  "formula": "K2Sr2I",
  "functional": "PBE-GGA",
  "state": "optimized geometry",
  "spacegroup": "No. 127",
  "m_tot_mub_per_atom": 0.1015,
  "e_form_raw_ev_per_atom": -0.32,
  "de_polymorph_ev_per_fu": 0.00,
  "lattice": [[-2.536, -2.489, -8.269], [-1.753, -8.291, 3.033], [-7.055, 2.057, 1.544]],
  "species": ["I", "Sr", "K", "Sr", "K", "K", "Sr", "Sr", "I", "K"],
  "frac_coords": [[0.000, 0.000, 0.000], [0.339, 0.839, 0.000], [0.341, 0.159, 0.500], [0.839, 0.661, 0.000], [0.159, 0.659, 0.500], [0.841, 0.341, 0.500], [0.161, 0.339, 0.000], [0.661, 0.161, 0.000], [0.500, 0.500, 0.000], [0.659, 0.841, 0.500]]
}


Entry 12:
{
  "formula": "Pu2TeIr",
  "functional": "PBE-GGA",
  "state": "optimized geometry",
  "spacegroup": "No. 123",
  "m_tot_mub_per_atom": 2.6122,
  "e_form_raw_ev_per_atom": -0.65,
  "de_polymorph_ev_per_fu": 0.32,
  "lattice": [[-1.155, 3.306, -0.672], [-2.182, -1.273, -2.516], [-5.325, -0.836, 5.042]],
  "species": ["Ir", "Te", "Pu", "Pu"],
  "frac_coords": [[0.500, 0.500, 0.000], [0.500, 0.500, 0.500], [0.000, 0.000, 0.220], [0.000, 0.000, 0.780]]
}


Entry 13:
{
  "formula": "AlHSe2Br",
  "functional": "PBE-GGA",
  "state": "optimized geometry",
  "spacegroup": "No. 123",
  "m_tot_mub_per_atom": 0.0000,
  "de_polymorph_ev_per_fu": 0.00,
  "lattice": [[-3.146, -1.495, -1.998], [2.463, -2.378, -2.098], [-0.675, -4.818, 4.669]],
  "species": ["Al", "Se", "Se", "Br", "H"],
  "frac_coords": [[0.500, 0.500, 0.500], [0.000, 0.500, 0.000], [0.500, 0.000, 0.000], [0.000, 0.000, 0.500], [0.000, 0.000, 0.000]]
}


Entry 14:
{
  "formula": "CeLuPuTh",
  "functional": "PBE-GGA",
  "state": "optimized geometry",
  "ef_kj_per_mol_atoms": 23.8,
  "spacegroup": "No. 216",
  "m_tot_mub_per_atom": 2.2779,
  "lattice": [[-3.957, -3.272, 2.039], [-1.563, -4.509, -2.784], [1.283, -5.017, 1.924]],
  "species": ["Pu", "Lu", "Th", "Ce"],
  "frac_coords": [[0.500, 0.500, 0.500], [0.250, 0.250, 0.250], [0.750, 0.750, 0.750], [0.000, 0.000, 0.000]]
}


Entry 15:
{
  "formula": "BeHg2Sb",
  "functional": "PBE-GGA",
  "state": "optimized geometry",
  "spacegroup": "No. 71",
  "m_tot_mub_per_atom": 0.0000,
  "e_form_raw_ev_per_atom": 0.35,
  "de_polymorph_ev_per_fu": 0.73,
  "lattice": [[7.319, -0.074, -0.008], [5.509, 4.818, 0.008], [-6.261, -2.785, 2.571]],
  "species": ["Sb", "Be", "Hg", "Hg"],
  "frac_coords": [[0.750, 0.250, 0.500], [0.250, 0.750, 0.500], [0.436, 0.436, 0.000], [0.064, 0.064, 0.000]]
}


Entry 16:
{
  "formula": "Sr2Zn2Sn3",
  "functional": "PBE-GGA",
  "state": "optimized geometry",
  "ef_kj_per_mol_atoms": -40.6,
  "spacegroup": "No. 63",
  "m_tot_mub_per_atom": 0.0000,
  "lattice": [[-2.156, 1.670, -4.172], [1.461, -6.450, -3.337], [-8.109, -4.595, 5.329]],
  "species": ["Sr", "Sn", "Sn", "Sn", "Sr", "Sn", "Zn", "Sn", "Sr", "Sn", "Zn", "Zn", "Zn", "Sr"],
  "frac_coords": [[0.159, 0.250, 0.319], [0.780, 0.250, 0.559], [0.433, 0.557, 0.866], [0.567, 0.443, 0.134], [0.045, 0.750, 0.090], [0.220, 0.750, 0.441], [0.693, 0.937, 0.385], [0.433, 0.943, 0.866], [0.841, 0.750, 0.681], [0.567, 0.057, 0.134], [0.693, 0.563, 0.385], [0.307, 0.063, 0.615], [0.307, 0.437, 0.615], [0.955, 0.250, 0.910]]
}


Entry 17:
{
  "formula": "KAcI2",
  "functional": "PBE-GGA",
  "state": "optimized geometry",
  "spacegroup": "No. 166",
  "m_tot_mub_per_atom": 0.0000,
  "e_form_raw_ev_per_atom": -1.12,
  "de_polymorph_ev_per_fu": 0.00,
  "lattice": [[4.279, 0.000, 0.000], [2.140, 3.706, 0.000], [2.140, 1.235, 9.934]],
  "species": ["Ac", "I", "I", "K"],
  "frac_coords": [[0.000, 0.000, 0.000], [0.751, 0.751, 0.747], [0.249, 0.249, 0.253], [0.500, 0.500, 0.500]]
}


Entry 18:
{
  "formula": "NaSr2InMo",
  "functional": "PBE-GGA",
  "state": "optimized geometry",
  "ef_kj_per_mol_atoms": 55.2,
  "spacegroup": "No. 123",
  "m_tot_mub_per_atom": 0.0055,
  "lattice": [[5.707, 0.000, 0.000], [0.000, 5.453, 0.000], [0.000, 0.000, 5.707]],
  "species": ["Sr", "Na", "Mo", "In", "Sr"],
  "frac_coords": [[0.000, 0.000, 0.500], [0.500, 0.500, 0.500], [0.000, 0.000, 0.000], [0.000, 0.500, 0.000], [0.500, 0.000, 0.000]]
}


Entry 19:
{
  "formula": "CaMg3Cl8",
  "functional": "PBE-GGA",
  "state": "optimized geometry",
  "spacegroup": "No. 12",
  "m_tot_mub_per_atom": 0.0000,
  "e_form_raw_ev_per_atom": -1.97,
  "lattice": [[-5.632, -3.822, 3.371], [4.952, -3.666, -4.441], [2.311, 2.731, 6.959]],
  "species": ["Cl", "Mg", "Cl", "Cl", "Cl", "Ca", "Cl", "Cl", "Cl", "Mg", "Cl", "Mg"],
  "frac_coords": [[0.749, 0.030, 0.785], [0.500, 0.000, 0.000], [0.749, 0.499, 0.785], [0.719, 0.970, 0.215], [0.251, 0.970, 0.215], [0.000, 0.000, 0.000], [0.739, 0.478, 0.213], [0.261, 0.522, 0.787], [0.281, 0.030, 0.785], [0.000, 0.500, 0.000], [0.251, 0.501, 0.215], [0.500, 0.500, 0.000]]
}


Entry 20:
{
  "formula": "AgPt2W",
  "functional": "PBE-GGA",
  "state": "optimized geometry",
  "ef_kj_per_mol_atoms": 27.1,
  "spacegroup": "No. 216",
  "m_tot_mub_per_atom": 0.0000,
  "de_polymorph_ev_per_fu": 1.95,
  "lattice": [[4.498, 0.000, 0.000], [2.249, 3.895, 0.000], [2.249, 1.298, 3.672]],
  "species": ["Ag", "W", "Pt", "Pt"],
  "frac_coords": [[0.500, 0.500, 0.500], [0.250, 0.250, 0.250], [0.000, 0.000, 0.000], [0.750, 0.750, 0.750]]
}


Entry 21:
{
  "formula": "CeDyZnTc",
  "functional": "PBE-GGA",
  "state": "optimized geometry",
  "ef_kj_per_mol_atoms": -12.0,
  "spacegroup": "No. 216",
  "m_tot_mub_per_atom": 0.0000,
  "lattice": [[-3.439, -1.805, 3.083], [0.181, -4.751, 1.408], [1.216, -1.159, 4.666]],
  "species": ["Dy", "Ce", "Tc", "Zn"],
  "frac_coords": [[0.750, 0.750, 0.750], [0.250, 0.250, 0.250], [0.500, 0.500, 0.500], [0.000, 0.000, 0.000]]
}


Entry 22:
{
  "formula": "K2Sn4SbAu3",
  "functional": "PBE-GGA",
  "state": "optimized geometry",
  "spacegroup": "No. 115",
  "m_tot_mub_per_atom": 0.0000,
  "e_form_raw_ev_per_atom": -0.27,
  "lattice": [[4.897, 0.000, 0.000], [0.000, 4.897, 0.000], [0.000, 0.000, 11.711]],
  "species": ["Sn", "Au", "Au", "Sn", "Sb", "K", "Sn", "Au", "Sn", "K"],
  "frac_coords": [[0.000, 0.500, 0.359], [0.000, 0.000, 0.500], [0.500, 0.000, 0.876], [0.000, 0.000, 0.000], [0.500, 0.500, 0.500], [0.000, 0.500, 0.752], [0.500, 0.000, 0.641], [0.000, 0.500, 0.124], [0.500, 0.500, 0.000], [0.500, 0.000, 0.248]]
}


Entry 23:
{
  "formula": "CaLa2Sn9",
  "functional": "PBE-GGA",
  "state": "optimized geometry",
  "ef_kj_per_mol_atoms": -49.4,
  "spacegroup": "No. 123",
  "m_tot_mub_per_atom": 0.0000,
  "lattice": [[-0.750, -4.427, 1.759], [0.892, -1.880, -4.351], [13.791, -1.036, 3.274]],
  "species": ["La", "Ca", "Sn", "Sn", "Sn", "Sn", "La", "Sn", "Sn", "Sn", "Sn", "Sn"],
  "frac_coords": [[0.000, 0.000, 0.665], [0.000, 0.000, 0.000], [0.000, 0.500, 0.163], [0.500, 0.500, 0.669], [0.500, 0.500, 0.000], [0.000, 0.500, 0.500], [0.000, 0.000, 0.335], [0.500, 0.500, 0.331], [0.000, 0.500, 0.837], [0.500, 0.000, 0.500], [0.500, 0.000, 0.163], [0.500, 0.000, 0.837]]
}


Entry 24:
{
  "formula": "RbPaPb",
  "functional": "PBE-GGA",
  "state": "optimized geometry",
  "ef_kj_per_mol_atoms": 21.7,
  "spacegroup": "No. 12",
  "m_tot_mub_per_atom": 0.0290,
  "lattice": [[3.353, 0.000, 0.000], [-1.676, 4.908, 0.207], [0.000, -1.720, 14.553]],
  "species": ["Pb", "Pb", "Rb", "Rb", "Pa", "Pa"],
  "frac_coords": [[0.863, 0.726, 0.178], [0.137, 0.274, 0.822], [0.609, 0.218, 0.347], [0.391, 0.782, 0.653], [0.874, 0.749, 0.954], [0.126, 0.251, 0.046]]
}


Entry 25:
{
  "formula": "Nb2SnPt",
  "functional": "PBE-GGA",
  "state": "optimized geometry",
  "ef_kj_per_mol_atoms": 32.4,
  "spacegroup": "No. 166",
  "m_tot_mub_per_atom": 0.0000,
  "lattice": [[-2.017, -1.204, 1.826], [-2.253, -1.592, -1.115], [4.209, -9.365, 0.898]],
  "species": ["Sn", "Pt", "Nb", "Nb"],
  "frac_coords": [[0.500, 0.500, 0.500], [0.000, 0.000, 0.000], [0.085, 0.085, 0.746], [0.915, 0.915, 0.254]]
}